No. 1
# CuMoC2, relaxed, DFT PBE-GGA
# ΔH_f (0 K) = 861 meV per atom
# Crystal system = tetragonal
data_CuMoC2
_symmetry_space_group_name_H-M 'I -4 2 d'
_symmetry_Int_Tables_number 122
_symmetry_space_group_name_Hall 'I -4 2bw'
_cell_length_a 4.6703
_cell_length_b 4.6703
_cell_length_c 9.0866
_cell_angle_alpha 90.00
_cell_angle_beta 90.00
_cell_angle_gamma 90.00
loop_
_atom_site_label
_atom_site_type_symbol
_atom_site_fract_x
_atom_site_fract_y
_atom_site_fract_z
_atom_site_occupancy
Cu1 Cu 0.0000 0.0000 0.0000 1
Mo1 Mo 0.0000 0.0000 0.5000 1
C1 C 0.2401 0.2500 0.6250 1

---

No. 2
# CdCuAs2O8, relaxed, DFT PBE-GGA
# Crystal system = tetragonal
# E_form (uncorrected) = -794 kJ/mol of formula units
data_CdCuAs2O8
_symmetry_space_group_name_H-M 'I -4 m 2'
_symmetry_Int_Tables_number 119
_symmetry_space_group_name_Hall 'I -4 -2'
_cell_length_a 6.9932
_cell_length_b 6.9932
_cell_length_c 6.3194
_cell_angle_alpha 90.00
_cell_angle_beta 90.00
_cell_angle_gamma 90.00
loop_
_atom_site_label
_atom_site_type_symbol
_atom_site_fract_x
_atom_site_fract_y
_atom_site_fract_z
_atom_site_occupancy
Cd1 Cd 0.0000 0.0000 0.0000 1
Cu1 Cu 0.0000 0.5000 0.2500 1
As1 As 0.0000 0.0000 0.5000 1
As2 As 0.0000 0.5000 0.7500 1
O1 O 0.0000 0.1863 0.3191 1
O2 O 0.0000 0.3241 0.9408 1

---

No. 3
# GdPuPd, relaxed, DFT PBE-GGA
# ΔH_f (0 K) = 127 meV per atom
# Crystal system = tetragonal
data_GdPuPd
_symmetry_space_group_name_H-M 'I 4 m m'
_symmetry_Int_Tables_number 107
_symmetry_space_group_name_Hall 'I 4 -2'
_cell_length_a 3.2119
_cell_length_b 3.2119
_cell_length_c 15.5646
_cell_angle_alpha 90.00
_cell_angle_beta 90.00
_cell_angle_gamma 90.00
loop_
_atom_site_label
_atom_site_type_symbol
_atom_site_fract_x
_atom_site_fract_y
_atom_site_fract_z
_atom_site_occupancy
Gd1 Gd 0.0000 0.0000 0.0000 1
Pu1 Pu 0.0000 0.0000 0.2057 1
Pd1 Pd 0.0000 0.0000 0.3828 1

---

No. 4
# In2HgSb, relaxed, DFT PBE-GGA
# Crystal system = monoclinic
# E_form (uncorrected) = 18 kJ/mol of formula units
data_In2HgSb
_symmetry_space_group_name_H-M 'C 1 m 1'
_symmetry_Int_Tables_number 8
_cell_length_a 14.7317
_cell_length_b 4.5720
_cell_length_c 8.9299
_cell_angle_alpha 90.00
_cell_angle_beta 119.69
_cell_angle_gamma 90.00
loop_
_symmetry_equiv_pos_as_xyz
'x,y,z'
'x,-y,z'
'x+1/2,y+1/2,z'
'x+1/2,-y+1/2,z'
loop_
_atom_site_label
_atom_site_type_symbol
_atom_site_fract_x
_atom_site_fract_y
_atom_site_fract_z
_atom_site_occupancy
In1 In 0.0000 0.0000 0.0000 1
In2 In 0.0222 0.5000 0.4585 1
In3 In 0.1969 0.5000 0.1663 1
In4 In 0.3256 0.0000 0.7366 1
Hg1 Hg 0.0399 0.5000 0.7866 1
Hg2 Hg 0.2295 0.0000 0.9488 1
Sb1 Sb 0.2324 0.5000 0.5148 1
Sb2 Sb 0.4171 0.5000 0.2477 1

---

No. 5
# LiAgAu3, relaxed, DFT PBE-GGA
# ΔH_f (0 K) = 412 meV per atom
# Crystal system = cubic
data_LiAgAu3
_symmetry_space_group_name_H-M 'P m -3 m'
_symmetry_Int_Tables_number 221
_symmetry_space_group_name_Hall '-P 4 2 3'
_cell_length_a 5.1547
_cell_length_b 5.1547
_cell_length_c 5.1547
_cell_angle_alpha 90.00
_cell_angle_beta 90.00
_cell_angle_gamma 90.00
loop_
_atom_site_label
_atom_site_type_symbol
_atom_site_fract_x
_atom_site_fract_y
_atom_site_fract_z
_atom_site_occupancy
Li1 Li 0.0000 0.0000 0.0000 1
Ag1 Ag 0.5000 0.5000 0.5000 1
Au1 Au 0.0000 0.5000 0.5000 1

---

No. 6
# Sm4GaSnN, relaxed, DFT PBE-GGA
# Crystal system = orthorhombic
# E_form (uncorrected) = -550 kJ/mol of formula units
data_Sm4GaSnN
_symmetry_space_group_name_H-M 'C m c m'
_symmetry_Int_Tables_number 63
_symmetry_space_group_name_Hall '-C 2c 2'
_cell_length_a 6.7867
_cell_length_b 16.0810
_cell_length_c 6.7941
_cell_angle_alpha 90.00
_cell_angle_beta 90.00
_cell_angle_gamma 90.00
loop_
_atom_site_label
_atom_site_type_symbol
_atom_site_fract_x
_atom_site_fract_y
_atom_site_fract_z
_atom_site_occupancy
Sm1 Sm 0.0000 0.0795 0.2500 1
Sm2 Sm 0.0000 0.4116 0.2500 1
Sm3 Sm 0.2500 0.2500 0.0000 1
Ga1 Ga 0.0000 0.1156 0.7500 1
Sn1 Sn 0.0000 0.3916 0.7500 1
N1 N 0.0000 0.2520 0.2500 1

---

no.,uncorrected energy (eV for the cell shown),total magnetic moment (μB per formula unit)
1,-119.73,0.0
2,-124.40,3.0
3,-66.45,0.6
4,-38.88,0.0
5,-12.54,0.0
6,-159.73,0.0